Run A
VASP calculation (GGA-PBE) on crystalline PCSeS2 at its relaxed geometry.

abc: 4.048 4.048 4.457
angles: 90.00 90.00 90.00
Space group P4/mmm (No. 123)
Symmetry-distinct sites (fractional):
1 P 0.000 0.000 0.000 x1
2 C 0.000 0.000 0.500 x1
3 Se 0.500 0.500 0.000 x1
4 S 0.000 0.500 0.500 x2


Run B
VASP calculation (GGA-PBE) on crystalline PCSeS2 at its relaxed geometry.

abc: 4.746 4.746 4.897
angles: 90.00 90.00 90.00
Space group P4/mmm (No. 123)
Symmetry-distinct sites (fractional):
1 P 0.000 0.000 0.000 x1
2 C 0.500 0.500 0.000 x1
3 Se 0.000 0.000 0.500 x1
4 S 0.000 0.500 0.500 x2


Last place for stability: run B


Run A
VASP calculation (GGA-PBE) on crystalline P2CSeS at its relaxed geometry.

abc: 4.286 4.286 3.942
angles: 90.00 90.00 90.00
Space group P4/mmm (No. 123)
Symmetry-distinct sites (fractional):
1 P 0.000 0.500 0.000 x2
2 C 0.000 0.000 0.000 x1
3 Se 0.500 0.500 0.500 x1
4 S 0.000 0.000 0.500 x1


Run B
VASP calculation (GGA-PBE) on crystalline P2CSeS at its relaxed geometry.

abc: 4.832 4.832 4.718
angles: 90.00 90.00 90.00
Space group P4/mmm (No. 123)
Symmetry-distinct sites (fractional):
1 P 0.000 0.500 0.000 x2
2 C 0.000 0.000 0.500 x1
3 Se 0.500 0.500 0.000 x1
4 S 0.500 0.500 0.500 x1


Last place for stability: run B


Run A
VASP calculation (GGA-PBE) on crystalline SiP2CS at its relaxed geometry.

abc: 3.962 3.962 4.337
angles: 90.00 90.00 90.00
Space group P4/mmm (No. 123)
Symmetry-distinct sites (fractional):
1 Si 0.000 0.000 0.000 x1
2 P 0.000 0.500 0.500 x2
3 C 0.500 0.500 0.500 x1
4 S 0.500 0.500 0.000 x1


Run B
VASP calculation (GGA-PBE) on crystalline SiP2CS at its relaxed geometry.

abc: 4.489 4.489 4.337
angles: 90.00 90.00 90.00
Space group P4/mmm (No. 123)
Symmetry-distinct sites (fractional):
1 Si 0.000 0.000 0.000 x1
2 P 0.000 0.500 0.000 x2
3 C 0.500 0.500 0.500 x1
4 S 0.000 0.000 0.500 x1


Last place for stability: run B


Run A
VASP calculation (GGA-PBE) on crystalline SrP2CS at its relaxed geometry.

abc: 6.003 6.003 5.621
angles: 90.00 90.00 90.00
Space group P4/mmm (No. 123)
Symmetry-distinct sites (fractional):
1 Sr 0.000 0.000 0.000 x1
2 P 0.000 0.500 0.000 x2
3 C 0.500 0.500 0.500 x1
4 S 0.000 0.000 0.500 x1


Run B
VASP calculation (GGA-PBE) on crystalline SrP2CS at its relaxed geometry.

abc: 3.947 3.947 7.515
angles: 90.00 90.00 90.00
Space group P4/mmm (No. 123)
Symmetry-distinct sites (fractional):
1 Sr 0.000 0.000 0.000 x1
2 P 0.000 0.500 0.500 x2
3 C 0.500 0.500 0.500 x1
4 S 0.500 0.500 0.000 x1


Last place for stability: run A


Run A
VASP calculation (GGA-PBE) on crystalline TaPCS2 at its relaxed geometry.

abc: 4.717 4.717 4.944
angles: 90.00 90.00 90.00
Space group P4/mmm (No. 123)
Symmetry-distinct sites (fractional):
1 Ta 0.000 0.000 0.000 x1
2 P 0.000 0.000 0.500 x1
3 C 0.500 0.500 0.500 x1
4 S 0.000 0.500 0.000 x2


Run B
VASP calculation (GGA-PBE) on crystalline TaPCS2 at its relaxed geometry.

abc: 4.014 4.014 4.105
angles: 90.00 90.00 90.00
Space group P4/mmm (No. 123)
Symmetry-distinct sites (fractional):
1 Ta 0.000 0.000 0.000 x1
2 P 0.500 0.500 0.000 x1
3 C 0.500 0.500 0.500 x1
4 S 0.000 0.500 0.500 x2


Last place for stability: run A


Run A
VASP calculation (GGA-PBE) on crystalline TcP2CS at its relaxed geometry.

abc: 4.642 4.642 4.500
angles: 90.00 90.00 90.00
Space group P4/mmm (No. 123)
Symmetry-distinct sites (fractional):
1 Tc 0.000 0.000 0.000 x1
2 P 0.000 0.500 0.000 x2
3 C 0.500 0.500 0.500 x1
4 S 0.000 0.000 0.500 x1


Run B
VASP calculation (GGA-PBE) on crystalline TcP2CS at its relaxed geometry.

abc: 3.864 3.864 4.235
angles: 90.00 90.00 90.00
Space group P4/mmm (No. 123)
Symmetry-distinct sites (fractional):
1 Tc 0.000 0.000 0.000 x1
2 P 0.000 0.500 0.500 x2
3 C 0.500 0.500 0.500 x1
4 S 0.500 0.500 0.000 x1


Last place for stability: run A